## P
Entry from Alexandria via LeMat-Bulk: Ag3AuF after structural relaxation (GGA-PBE).

Cell lengths 4.5766, 4.5766, 4.5766 Å; angles 90.00, 90.00, 90.00 degrees
Closest atoms and distances in Å follow each position.
Fractional coordinates of all 5 atoms:
Ag: 0.5000 0.0000 0.0000  2 F 2.29
Ag: 0.0000 0.5000 0.0000  2 F 2.29
Ag: 0.0000 0.0000 0.5000  2 F 2.29
Au: 0.5000 0.5000 0.5000  12 Ag 3.24
F: 0.0000 0.0000 0.0000  6 Ag 2.29

Values from the calculation:
The density comes out at 9.347 Mg/m³.



## Q
Entry from Alexandria via LeMat-Bulk: Ag3AuF after structural relaxation (GGA-PBE).

Cell lengths 5.2139, 5.2139, 5.2139 Å; angles 90.00, 90.00, 90.00 degrees
Closest atoms and distances in Å follow each position.
Fractional coordinates of all 5 atoms:
Au: 0.0000 0.0000 0.0000  6 Ag 2.61
Ag: 0.0000 0.0000 0.5000  2 Au 2.61
Ag: 0.0000 0.5000 0.0000  2 Au 2.61
Ag: 0.5000 0.0000 0.0000  2 Au 2.61
F: 0.5000 0.5000 0.5000  12 Ag 3.69

Values from the calculation:
The density comes out at 6.321 Mg/m³.



Most stable of them? P.